# CaGdDyTm | Alexandria | PBE | optimized geometry
data_CaGdDyTm
_cell_length_a 8.100
_cell_length_b 8.100
_cell_length_c 8.100
_cell_angle_alpha 90.00
_cell_angle_beta 90.00
_cell_angle_gamma 90.00
_symmetry_space_group_name_H-M 'F -4 3 m'
_symmetry_Int_Tables_number 216
_symmetry_space_group_name_Hall 'F -4 2 3'
loop_
_atom_site_label
_atom_site_type_symbol
_atom_site_fract_x
_atom_site_fract_y
_atom_site_fract_z
Ca1 Ca 0.000 0.000 0.000
Gd1 Gd 0.250 0.250 0.250
Dy1 Dy 0.250 0.250 0.750
Tm1 Tm 0.000 0.000 0.500
# Total energy ... -6.138 eV per atom
# Calculated formation energy ... 58 kJ/mol of formula units